No. 1
Material: Y2MgNb2
Method: DFT, PBE-GGA
State: relaxed

Computed properties:
ΔH_f (0 K) = 0.311 eV per atom

Cell: 7.7682 7.7682 4.1093 Å, 90.00 90.00 90.00°
With the nearest neighbours (Å) after each atom.
Element x y z (fractional)
Y (0.1740, 0.3260, 0.0000)  6 Nb 3.07-3.09
Y (0.3260, 0.8260, 0.0000)  6 Nb 3.07-3.09
Y (0.6740, 0.1740, 0.0000)  6 Nb 3.07-3.09
Y (0.8260, 0.6740, 0.0000)  6 Nb 3.07-3.09
Mg (0.0000, 0.0000, 0.5000)  4 Nb 3.10
Mg (0.5000, 0.5000, 0.5000)  4 Nb 3.10
Nb (0.1187, 0.6187, 0.5000)  1 Nb 2.61
Nb (0.3813, 0.1187, 0.5000)  1 Nb 2.61
Nb (0.6187, 0.8813, 0.5000)  1 Nb 2.61
Nb (0.8813, 0.3813, 0.5000)  1 Nb 2.61

No. 2
Material: Y2MgNb
Method: DFT, PBE-GGA
State: relaxed

Computed properties:
ΔH_f (0 K) = 0.702 eV per atom

Cell: 11.0726 11.0726 11.0726 Å, 156.83 156.83 33.00°
With the nearest neighbours (Å) after each atom.
Element x y z (fractional)
Y (0.1158, 0.6250, 0.9908)  2 Nb 3.07, 4 Y 3.09-3.20, 2 Mg 3.10
Y (0.3750, 0.3658, 0.4908)  2 Nb 3.07, 4 Y 3.09-3.20, 2 Mg 3.10
Y (0.6342, 0.1250, 0.0092)  2 Nb 3.07, 4 Y 3.09-3.20, 2 Mg 3.10
Y (0.8750, 0.8842, 0.5092)  2 Nb 3.07, 4 Y 3.09-3.20, 2 Mg 3.10
Mg (0.2500, 0.7500, 0.5000)  4 Y 3.10, 4 Nb 3.15
Mg (0.5000, 0.5000, 0.0000)  4 Y 3.10, 4 Nb 3.15
Nb (0.0000, 0.0000, 0.0000)  4 Y 3.07, 4 Mg 3.15
Nb (0.7500, 0.2500, 0.5000)  4 Y 3.07, 4 Mg 3.15

No. 3
Material: Y3MgNb
Method: DFT, PBE-GGA
State: relaxed

Computed properties:
ΔH_f (0 K) = 1.193 eV per atom
Relative energy among the computed polymorphs = 3.33 eV per formula unit

Cell: 5.4159 5.4159 5.4159 Å, 90.00 90.00 90.00°
With the nearest neighbours (Å) after each atom.
Element x y z (fractional)
Y (0.0000, 0.0000, 0.5000)  2 Mg 2.71
Y (0.0000, 0.5000, 0.0000)  2 Mg 2.71
Y (0.5000, 0.0000, 0.0000)  2 Mg 2.71
Mg (0.0000, 0.0000, 0.0000)  6 Y 2.71
Nb (0.5000, 0.5000, 0.5000)  12 Y 3.83

No. 4
Material: YMg6Nb
Method: DFT, PBE-GGA
State: relaxed

Computed properties:
ΔH_f (0 K) = 0.146 eV per atom
Relative energy among the computed polymorphs = 0.00 eV per formula unit

Cell: 5.0797 6.5180 6.5180 Å, 58.73 90.00 90.00°
With the nearest neighbours (Å) after each atom.
Element x y z (fractional)
Y (0.0000, 0.0000, 0.0000)  2 Nb 3.05, 10 Mg 3.14-3.38
Mg (0.0000, 0.5114, 0.5114)  10 Mg 3.14-3.33, 2 Y 3.20
Mg (0.0000, 0.5210, 0.9958)  8 Mg 3.04-3.36, 2 Y 3.14-3.38, 2 Nb 3.14
Mg (0.0000, 0.9958, 0.5210)  8 Mg 3.04-3.36, 2 Y 3.14-3.38, 2 Nb 3.14
Mg (0.5000, 0.3487, 0.3487)  10 Mg 3.14-3.29, 2 Nb 3.20
Mg (0.5000, 0.3556, 0.8502)  8 Mg 3.09-3.29, 2 Y 3.23, 2 Nb 3.24-3.28
Mg (0.5000, 0.8502, 0.3556)  8 Mg 3.09-3.29, 2 Y 3.23, 2 Nb 3.24-3.28
Nb (0.5000, 0.8517, 0.8517)  2 Y 3.05, 10 Mg 3.14-3.28

No. 5
Material: YMg3Nb
Method: DFT, PBE-GGA
State: relaxed

Computed properties:
ΔH_f (0 K) = 0.813 eV per atom
Relative energy among the computed polymorphs = 0.00 eV per formula unit

Cell: 5.2056 5.2056 5.2056 Å, 90.00 90.00 90.00°
With the nearest neighbours (Å) after each atom.
Element x y z (fractional)
Y (0.0000, 0.0000, 0.0000)  12 Mg 3.68
Mg (0.0000, 0.5000, 0.5000)  2 Nb 2.60
Mg (0.5000, 0.0000, 0.5000)  2 Nb 2.60
Mg (0.5000, 0.5000, 0.0000)  2 Nb 2.60
Nb (0.5000, 0.5000, 0.5000)  6 Mg 2.60

No. 6
Material: YMgNb3
Method: DFT, PBE-GGA
State: relaxed

Computed properties:
ΔH_f (0 K) = 1.381 eV per atom
Relative energy among the computed polymorphs = 0.00 eV per formula unit

Cell: 4.9019 4.9019 4.9019 Å, 90.00 90.00 90.00°
With the nearest neighbours (Å) after each atom.
Element x y z (fractional)
Y (0.0000, 0.0000, 0.0000)  12 Nb 3.47
Mg (0.5000, 0.5000, 0.5000)  6 Nb 2.45
Nb (0.0000, 0.5000, 0.5000)  2 Mg 2.45
Nb (0.5000, 0.0000, 0.5000)  2 Mg 2.45
Nb (0.5000, 0.5000, 0.0000)  2 Mg 2.45

No. 7
Material: Y3MgNb
Method: DFT, PBE-GGA
State: relaxed

Computed properties:
ΔH_f (0 K) = 0.527 eV per atom
Relative energy among the computed polymorphs = 0.00 eV per formula unit

Cell: 5.4634 5.4634 5.4634 Å, 90.00 90.00 90.00°
With the nearest neighbours (Å) after each atom.
Element x y z (fractional)
Y (0.0000, 0.0000, 0.5000)  2 Nb 2.73
Y (0.0000, 0.5000, 0.0000)  2 Nb 2.73
Y (0.5000, 0.0000, 0.0000)  2 Nb 2.73
Mg (0.5000, 0.5000, 0.5000)  12 Y 3.86
Nb (0.0000, 0.0000, 0.0000)  6 Y 2.73

No. 8
Material: YMg2Nb
Method: DFT, PBE-GGA
State: relaxed

Computed properties:
ΔH_f (0 K) = 0.564 eV per atom

Cell: 6.4683 6.4683 6.4683 Å, 101.16 101.16 127.80°
With the nearest neighbours (Å) after each atom.
Element x y z (fractional)
Y (0.0000, 0.0000, 0.0000)  2 Nb 2.85, 4 Mg 3.15
Y (0.7500, 0.2500, 0.5000)  2 Nb 2.85, 4 Mg 3.15
Mg (0.1518, 0.1250, 0.5268)  2 Nb 2.84, 2 Mg 2.88, 2 Y 3.15
Mg (0.3750, 0.8482, 0.9732)  2 Nb 2.84, 2 Mg 2.88, 2 Y 3.15
Mg (0.5982, 0.6250, 0.4732)  2 Nb 2.84, 2 Mg 2.88, 2 Y 3.15
Mg (0.8750, 0.4018, 0.0268)  2 Nb 2.84, 2 Mg 2.88, 2 Y 3.15
Nb (0.2500, 0.7500, 0.5000)  4 Mg 2.84, 2 Y 2.85
Nb (0.5000, 0.5000, 0.0000)  4 Mg 2.84, 2 Y 2.85

No. 9
Material: Y2MgNb
Method: DFT, PBE-GGA
State: relaxed

Computed properties:
ΔH_f (0 K) = 0.540 eV per atom

Cell: 11.9141 11.9141 11.9141 Å, 15.39 15.39 15.39°
With the nearest neighbours (Å) after each atom.
Element x y z (fractional)
Y (0.0841, 0.0841, 0.0841)  1 Nb 2.97, 6 Y 3.19
Y (0.9159, 0.9159, 0.9159)  1 Nb 2.97, 6 Y 3.19
Mg (0.5000, 0.5000, 0.5000)  6 Mg 3.19, 6 Y 3.45
Nb (0.0000, 0.0000, 0.0000)  2 Y 2.97, 6 Nb 3.19

No. 10
Material: YMg6Nb
Method: DFT, PBE-GGA
State: relaxed

Computed properties:
ΔH_f (0 K) = 0.167 eV per atom
Relative energy among the computed polymorphs = 0.17 eV per formula unit

Cell: 5.1754 6.5085 6.5085 Å, 58.00 90.00 90.00°
With the nearest neighbours (Å) after each atom.
Element x y z (fractional)
Y (0.0000, 0.0000, 0.0000)  2 Nb 3.16, 10 Mg 3.21-3.26
Mg (0.0000, 0.5007, 0.9991)  8 Mg 3.15-3.24, 2 Nb 3.20-3.31, 2 Y 3.25-3.26
Mg (0.0000, 0.9991, 0.5007)  8 Mg 3.15-3.24, 2 Nb 3.20-3.31, 2 Y 3.25-3.26
Mg (0.5000, 0.1670, 0.1670)  10 Mg 3.16-3.31, 2 Y 3.21
Mg (0.5000, 0.1777, 0.6524)  7 Mg 3.00-3.31, 2 Nb 3.12, 2 Y 3.22
Mg (0.5000, 0.6486, 0.6486)  8 Mg 3.05-3.24, 2 Nb 3.13
Mg (0.5000, 0.6524, 0.1777)  7 Mg 3.00-3.31, 2 Nb 3.12, 2 Y 3.22
Nb (0.0000, 0.4939, 0.4939)  10 Mg 3.12-3.31, 2 Y 3.16

No. 11
Material: YMgZrNb2
Method: DFT, PBE-GGA
State: relaxed

Computed properties:
ΔH_f (0 K) = 1.656 eV per atom

Cell: 4.9560 4.9560 5.2395 Å, 90.00 90.00 90.00°
With the nearest neighbours (Å) after each atom.
Element x y z (fractional)
Y (0.0000, 0.0000, 0.0000)  4 Nb 2.48, 2 Zr 2.62
Mg (0.5000, 0.5000, 0.5000)  4 Zr 3.50, 8 Nb 3.61
Zr (0.0000, 0.0000, 0.5000)  2 Y 2.62
Nb (0.0000, 0.5000, 0.0000)  2 Y 2.48
Nb (0.5000, 0.0000, 0.0000)  2 Y 2.48

No. 12
Material: Mg14NbZn
Method: DFT, PBE-GGA
State: relaxed

Computed properties:
ΔH_f (0 K) = 0.055 eV per atom

Cell: 10.1146 6.2831 6.2831 Å, 59.35 90.00 90.00°
With the nearest neighbours (Å) after each atom.
Element x y z (fractional)
Mg (0.0000, 0.9997, 0.9997)  12 Mg 3.11-3.18
Mg (0.0000, 0.0009, 0.5014)  12 Mg 3.11-3.22
Mg (0.0000, 0.5000, 0.5000)  12 Mg 3.11-3.20
Mg (0.0000, 0.5014, 0.0009)  12 Mg 3.11-3.22
Mg (0.2547, 0.1617, 0.1617)  1 Nb 3.02, 11 Mg 3.06-3.23
Mg (0.2569, 0.6634, 0.6634)  1 Zn 3.04, 11 Mg 3.07-3.19
Mg (0.2617, 0.1661, 0.6727)  1 Nb 3.00, 1 Zn 3.01, 10 Mg 3.03-3.23
Mg (0.2617, 0.6727, 0.1661)  1 Nb 3.00, 1 Zn 3.01, 10 Mg 3.03-3.23
Mg (0.5000, 0.0047, 0.4987)  8 Mg 3.03-3.15, 2 Nb 3.11-3.17, 2 Zn 3.11-3.17
Mg (0.5000, 0.4987, 0.0047)  8 Mg 3.03-3.15, 2 Nb 3.11-3.17, 2 Zn 3.11-3.17
Mg (0.7383, 0.1661, 0.6727)  1 Nb 3.00, 1 Zn 3.01, 10 Mg 3.03-3.23
Mg (0.7383, 0.6727, 0.1661)  1 Nb 3.00, 1 Zn 3.01, 10 Mg 3.03-3.23
Mg (0.7431, 0.6634, 0.6634)  1 Zn 3.04, 11 Mg 3.07-3.19
Mg (0.7453, 0.1617, 0.1617)  1 Nb 3.02, 11 Mg 3.06-3.23
Nb (0.5000, 0.0039, 0.0039)  10 Mg 3.00-3.17, 2 Zn 3.11
Zn (0.5000, 0.4997, 0.4997)  10 Mg 3.01-3.17, 2 Nb 3.11